No. 1
Material: CeNd2Cd6
Method: DFT, GGA-PBE
State: relaxed

## Properties
density = 7.97 Mg/m³
VASP energy = -2.643 eV/atom
energy of formation = -0.314 eV/atom
symmetry = P6/mmm, No. 191

Lattice parameters (Å, degrees): 3.402 8.829 8.829 120.00 90.00 90.00
Sites, in units of the cell vectors:
Cd1 0.500 0.333 0.000
Cd2 0.500 0.667 0.667
Nd1 0.000 0.333 0.667
Cd3 0.500 0.000 0.667
Cd4 0.500 0.667 0.000
Nd2 0.000 0.667 0.333
Cd5 0.500 0.333 0.333
Cd6 0.500 0.000 0.333
Ce1 0.000 0.000 0.000

No. 2
Material: Ce2NdCd5
Method: DFT, GGA-PBE
State: relaxed

## Properties
density = 7.84 Mg/m³
VASP energy = -2.874 eV/atom
energy of formation = -0.222 eV/atom
symmetry = I4/mmm, No. 139

Lattice parameters (Å, degrees): 5.033 5.033 8.982 106.27 106.27 90.00
Sites, in units of the cell vectors:
Cd1 0.118 0.618 0.236
Cd2 0.500 0.500 0.000
Nd1 0.000 0.000 0.000
Ce1 0.738 0.738 0.476
Cd3 0.618 0.118 0.236
Cd4 0.882 0.382 0.764
Ce2 0.262 0.262 0.524
Cd5 0.382 0.882 0.764

No. 3
Material: Ce2NdCd
Method: DFT, GGA-PBE
State: relaxed

## Properties
density = 7.59 Mg/m³
VASP energy = -4.285 eV/atom
distance to the lowest polymorph of the same formula = 118 meV per atom
energy of formation = 0.103 eV/atom
symmetry = Fm-3m, No. 225

Lattice parameters (Å, degrees): 5.496 5.496 5.496 60.00 60.00 60.00
Sites, in units of the cell vectors:
Nd1 0.000 0.000 0.000
Cd1 0.500 0.500 0.500
Ce1 0.750 0.750 0.750
Ce2 0.250 0.250 0.250

No. 4
Material: CeNd5Cd3
Method: DFT, GGA-PBE
State: relaxed

## Properties
density = 7.27 Mg/m³
VASP energy = -3.749 eV/atom
energy of formation = -0.136 eV/atom
symmetry = P6_3/mcm, No. 193

Lattice parameters (Å, degrees): 7.012 9.494 9.494 120.00 90.00 90.00
Sites, in units of the cell vectors:
Nd1 0.250 0.000 0.675
Nd2 0.750 0.325 0.000
Cd1 0.250 0.660 0.660
Nd3 0.750 0.000 0.325
Cd2 0.250 0.340 0.000
Nd4 0.250 0.675 0.000
Nd5 0.750 0.675 0.675
Cd3 0.750 0.000 0.660
Ce1 0.000 0.000 0.000
Nd6 0.500 0.667 0.333
Cd4 0.250 0.000 0.340
Nd7 0.250 0.325 0.325
Nd8 0.000 0.667 0.333
Nd9 0.500 0.333 0.667
Ce2 0.500 0.000 0.000
Nd10 0.000 0.333 0.667
Cd5 0.750 0.340 0.340
Cd6 0.750 0.660 0.000

No. 5
Material: Ce2NdCd
Method: DFT, GGA-PBE
State: relaxed

## Properties
density = 8.03 Mg/m³
VASP energy = -4.238 eV/atom
distance to the lowest polymorph of the same formula = 165 meV per atom
energy of formation = 0.149 eV/atom
symmetry = R-3m, No. 166

Lattice parameters (Å, degrees): 3.234 3.234 12.402 82.51 82.51 60.00
Sites, in units of the cell vectors:
Nd1 0.000 0.000 0.000
Cd1 0.500 0.500 0.500
Ce1 0.090 0.090 0.731
Ce2 0.910 0.910 0.269

No. 6
Material: CeNd5Cd6
Method: DFT, GGA-PBE
State: relaxed

## Properties
density = 7.44 Mg/m³
VASP energy = -3.221 eV/atom
energy of formation = -0.282 eV/atom
symmetry = C2/m, No. 12

Lattice parameters (Å, degrees): 5.440 9.428 9.428 119.82 106.79 106.79
Sites, in units of the cell vectors:
Nd1 0.500 0.164 0.836
Nd2 0.500 0.836 0.164
Cd1 0.748 0.916 0.581
Cd2 0.252 0.084 0.419
Cd3 0.246 0.746 0.746
Nd3 0.500 0.500 0.500
Cd4 0.754 0.254 0.254
Cd5 0.748 0.581 0.916
Cd6 0.252 0.419 0.084
Ce1 0.000 0.000 0.000
Nd4 0.000 0.333 0.667
Nd5 0.000 0.667 0.333

No. 7
Material: Ce2NdCd
Method: DFT, GGA-PBE
State: relaxed

## Properties
density = 7.76 Mg/m³
VASP energy = -4.403 eV/atom
distance to the lowest polymorph of the same formula = 0 meV per atom
energy of formation = -0.016 eV/atom
symmetry = P4/mmm, No. 123

Lattice parameters (Å, degrees): 5.120 4.738 4.738 90.00 90.00 90.00
Sites, in units of the cell vectors:
Nd1 0.500 0.500 0.500
Cd1 0.500 0.000 0.000
Ce1 0.000 0.500 0.000
Ce2 0.000 0.000 0.500

No. 8
Material: CeNdCd
Method: DFT, GGA-PBE
State: relaxed

## Properties
density = 7.74 Mg/m³
VASP energy = -3.999 eV/atom
distance to the lowest polymorph of the same formula = 0 meV per atom
energy of formation = -0.126 eV/atom
symmetry = Cmcm, No. 63

Lattice parameters (Å, degrees): 3.545 5.491 8.923 90.00 101.46 90.00
Sites, in units of the cell vectors:
Nd1 0.070 0.250 0.141
Cd1 0.401 0.250 0.803
Ce1 0.254 0.750 0.509
Cd2 0.599 0.750 0.197
Ce2 0.746 0.250 0.491
Nd2 0.930 0.750 0.859

No. 9
Material: CeNdCd2
Method: DFT, GGA-PBE
State: relaxed

## Properties
density = 7.41 Mg/m³
VASP energy = -3.346 eV/atom
distance to the lowest polymorph of the same formula = 3 meV per atom
energy of formation = -0.213 eV/atom
symmetry = Cmmm, No. 65

Lattice parameters (Å, degrees): 3.829 5.458 5.458 89.93 90.00 90.00
Sites, in units of the cell vectors:
Cd1 0.000 0.000 0.500
Ce1 0.500 0.500 0.500
Cd2 0.000 0.500 0.000
Nd1 0.500 0.000 0.000

No. 10
Material: CeNd6Cd5
Method: DFT, GGA-PBE
State: relaxed

## Properties
density = 7.41 Mg/m³
VASP energy = -3.468 eV/atom
energy of formation = -0.208 eV/atom
symmetry = Immm, No. 71

Lattice parameters (Å, degrees): 5.442 7.892 9.477 114.61 106.69 90.00
Sites, in units of the cell vectors:
Nd1 0.500 0.269 0.000
Nd2 0.830 0.086 0.659
Ce1 0.000 0.000 0.000
Cd1 0.656 0.156 0.313
Cd2 0.000 0.500 0.000
Nd3 0.170 0.427 0.341
Cd3 0.344 0.844 0.687
Nd4 0.500 0.731 0.000
Nd5 0.170 0.914 0.341
Cd4 0.669 0.669 0.339
Cd5 0.331 0.331 0.661
Nd6 0.830 0.573 0.659

No. 11
Material: CeNd2Cd
Method: DFT, GGA-PBE
State: relaxed

## Properties
density = 7.49 Mg/m³
VASP energy = -4.209 eV/atom
distance to the lowest polymorph of the same formula = 0 meV per atom
energy of formation = -0.113 eV/atom
symmetry = P4/mmm, No. 123

Lattice parameters (Å, degrees): 3.637 3.637 9.062 90.00 90.00 90.00
Sites, in units of the cell vectors:
Cd1 0.500 0.500 0.000
Ce1 0.500 0.500 0.500
Nd1 0.000 0.000 0.237
Nd2 0.000 0.000 0.763

No. 12
Material: CeNdCd2
Method: DFT, GGA-PBE
State: relaxed

## Properties
density = 7.75 Mg/m³
VASP energy = -3.331 eV/atom
distance to the lowest polymorph of the same formula = 18 meV per atom
energy of formation = -0.198 eV/atom
symmetry = P4/mmm, No. 123

Lattice parameters (Å, degrees): 4.689 4.823 4.823 90.00 90.00 90.00
Sites, in units of the cell vectors:
Nd1 0.500 0.000 0.000
Cd1 0.000 0.500 0.000
Cd2 0.000 0.000 0.500
Ce1 0.500 0.500 0.500

Number 1: M_tot 0.164 μB/atom. Number 2: M_tot 0.280 μB/atom. Number 3: M_tot 0.707 μB/atom. Number 4: M_tot 0.232 μB/atom. Number 5: M_tot 0.000 μB/atom. Number 6: M_tot 0.288 μB/atom. Number 7: M_tot 0.523 μB/atom. Number 8: M_tot 0.268 μB/atom. Number 9: M_tot 0.479 μB/atom. Number 10: M_tot 0.269 μB/atom. Number 11: M_tot 0.077 μB/atom. Number 12: M_tot 0.264 μB/atom.